Entry 1:
## CeBeGe (PBE)

Data for an optimized crystal structure of CeBeGe.

Geometry as POSCAR:
```
CeBeGe
1.0
-1.3655 5.8512 1.1320
-2.9749 -4.4580 2.9426
7.0417 0.2058 7.4308
Ce Be Ge
6 6 6
Cartesian
4.0117 3.0628 5.5199 Ce
3.5208 0.1029 3.7154 Ce
5.8681 0.1715 6.1923 Ce
1.1736 0.0343 1.2385 Ce
-2.1702 0.6966 2.0373 Ce
0.8598 -2.1604 3.9482 Ce
-1.7407 -1.1867 4.0340 Be
3.5949 3.0575 8.2666 Be
1.5142 1.8470 5.5687 Be
-0.2525 2.6485 2.5175 Be
1.1871 -0.2481 5.9366 Be
3.8008 -1.3214 8.1926 Be
-0.1030 0.7570 4.2187 Ge
2.9270 -2.1000 6.1296 Ge
2.8043 0.8419 7.2866 Ge
-1.2074 -2.2208 1.7668 Ge
6.0789 3.1232 7.7013 Ge
1.9445 3.0023 3.3384 Ge
```

Properties
- Final energy: -89.6 eV for the cell shown

Entry 2:
## Pm3Zn2Au9 (PBE)

Data for an optimized crystal structure of Pm3Zn2Au9.

Geometry as POSCAR:
```
Pm3Zn2Au9
1.0
-0.7115 4.0490 -0.7398
-8.2430 0.1587 -2.9960
-4.7642 2.5780 6.8997
Pm Zn Au
3 2 9
Cartesian
0.0000 0.0000 0.0000 Pm
-4.3655 3.6590 0.6401 Pm
-9.3533 3.1267 2.5238 Pm
-6.1933 3.8561 3.4767 Zn
-7.5255 2.9296 -0.3128 Zn
-6.5036 1.3683 1.9518 Au
-11.9946 4.6455 1.5844 Au
-1.7242 2.1402 1.5795 Au
-11.1053 5.2639 4.1138 Au
-2.6134 1.5218 -0.9499 Au
-9.5887 4.7515 -0.1491 Au
-4.1300 2.0341 3.3130 Au
-8.1874 5.7260 3.8368 Au
-5.5313 1.0596 -0.6729 Au
```

Properties
- Final energy: -54.2 eV for the cell shown

Entry 3:
## CaTe2Cl (PBE)

Data for an optimized crystal structure of CaTe2Cl.

Geometry as POSCAR:
```
CaTe2Cl
1.0
4.3361 0.0000 0.0000
0.0000 4.3361 0.0000
2.1681 2.1681 12.7536
Ca Te Cl
2 4 2
Cartesian
0.0000 0.0000 0.0000 Ca
4.3361 2.1681 6.3768 Ca
3.2710 1.0840 3.1884 Te
1.0651 3.2521 3.1884 Te
3.2521 3.2332 9.5652 Te
5.4202 5.4391 9.5652 Te
2.1681 2.1681 0.0000 Cl
2.1681 4.3361 6.3768 Cl
```

Properties
- Formation energy (no corrections): -1026.2 meV per atom
- ΔE to the lowest computed polymorph: 5.3 kJ/mol of atoms

Entry 4:
## Zn2CdAg3 (PBE)

Data for an optimized crystal structure of Zn2CdAg3.

Geometry as POSCAR:
```
Zn2CdAg3
1.0
3.1320 0.0000 0.0000
0.0000 3.1320 0.0000
0.0000 0.0000 10.5411
Zn Cd Ag
2 1 3
Cartesian
1.5660 1.5660 8.8983 Zn
1.5660 1.5660 1.6428 Zn
1.5660 1.5660 5.2705 Cd
0.0000 0.0000 0.0000 Ag
0.0000 0.0000 7.2626 Ag
0.0000 0.0000 3.2785 Ag
```

Properties
- Final energy: -12.2 eV for the cell shown

D(E_F) in states/eV per cell, matching the order above: 25.935 7.015 1.525 1.277